Here is a relaxed structure of TiSiTcIr from the Alexandria database. Energies are from PBE-GGA. Values from VASP.

Cell and atoms, written as Quantum ESPRESSO input:
```
&SYSTEM
  ibrav = 0, nat = 4, ntyp = 4
/
ATOMIC_SPECIES
Ti 47.87 Ti.upf
Si 28.09 Si.upf
Tc 98.00 Tc.upf
Ir 192.22 Ir.upf
CELL_PARAMETERS angstrom
0.000 3.025 3.025
3.025 0.000 3.025
3.025 3.025 0.000
ATOMIC_POSITIONS crystal
Ti 0.000 0.000 0.000
Si 0.500 0.500 0.500
Tc 0.750 0.750 0.750
Ir 0.250 0.250 0.250
```

Computed properties:
Calculated volume   13.84 Å³ per atom
N(E_F)   0.2 states/eV/cell
Formation energy without anion corrections   -0.82 eV per atom